(1)
A relaxed structure of TlCuBiCl6, computed with PBE.

Summary:
For the magnetic moment, the calculation gives 1.0 μB/f.u. The calculated volume comes out at 289 Å³/cell. The calculation puts the electronic total energy at -3.211 eV per atom. The value obtained for the energy relative to the elements, uncorrected is -7.5 eV per formula unit.

Structure (POSCAR):
```
TlCuBiCl6
1.0
7.1824 -0.0022 0.3597
3.5900 5.7313 0.1851
0.3661 -0.0044 7.0363
Cu Cl Bi Tl
1 6 1 1
Direct
0.3332 0.3295 0.4977
0.3668 0.6126 0.3236
0.5990 0.0469 0.2898
0.6430 0.3615 0.7540
0.0211 0.6135 0.6755
0.9974 0.3613 0.2485
0.3525 0.0476 0.7089
0.6791 0.6412 0.5009
0.0076 0.9859 0.0010
```

***

(2)
A relaxed structure of Tl2Cu2BiCl6, computed with PBE.

Summary:
For the magnetic moment, the calculation gives 0.9 μB/f.u. The calculated volume comes out at 323 Å³/cell. The calculation puts the electronic total energy at -3.229 eV per atom. The value obtained for the energy relative to the elements, uncorrected is -7.6 eV per formula unit. As for the density of states at the Fermi level: 0.529 states/eV per atom.

Structure (POSCAR):
```
Tl2Cu2BiCl6
1.0
-2.8292 6.6763 -0.1540
1.7732 -3.0281 6.9298
5.8686 2.4351 -2.2470
Cl Bi Tl Cu
6 1 2 2
Direct
0.8381 0.1579 0.7954
0.1619 0.8421 0.2046
0.8050 0.6100 0.6960
0.6802 0.8421 0.2046
0.3198 0.1579 0.7954
0.1950 0.3900 0.3040
0.5000 0.0000 0.5000
0.7223 0.4446 0.2269
0.2777 0.5554 0.7731
0.0295 0.0591 0.2140
0.9705 0.9409 0.7860
```

***

(3)
A relaxed structure of TlCuBiCl5, computed with PBE.

Summary:
For the magnetic moment, the calculation gives 0.1 μB/f.u. The calculated volume comes out at 500 Å³/cell. The calculation puts the electronic total energy at -3.310 eV per atom. The value obtained for the energy relative to the elements, uncorrected is -6.9 eV per formula unit.

Structure (POSCAR):
```
TlCuBiCl5
1.0
-2.7885 5.0846 4.7641
-5.5206 -1.9693 -4.6873
1.2687 -8.2429 5.7853
Cl Cu Tl Bi
10 2 2 2
Direct
0.6866 0.0975 0.3841
0.9025 0.3134 0.1159
0.0858 0.9142 0.2500
0.0975 0.6866 0.8841
0.7527 0.6097 0.4225
0.9142 0.0858 0.7500
0.6097 0.7527 0.9225
0.3903 0.2473 0.0775
0.3134 0.9025 0.6159
0.2473 0.3903 0.5775
0.6914 0.3086 0.2500
0.3086 0.6914 0.7500
0.3553 0.6447 0.2500
0.6447 0.3553 0.7500
0.0000 0.0000 0.5000
0.0000 0.0000 0.0000
```

***

(4)
A relaxed structure of CuBiWCl2, computed with PBE.

Summary:
For the magnetic moment, the calculation gives 0.5 μB/f.u. The calculated volume comes out at 115 Å³/cell. The calculation puts the electronic total energy at -4.309 eV per atom. The value obtained for the energy relative to the elements, uncorrected is 3.1 eV per formula unit. As for the density of states at the Fermi level: 0.948 states/eV per atom.

Structure (POSCAR):
```
CuBiWCl2
1.0
-2.6826 0.5021 3.6590
2.3625 -4.4133 2.3376
3.1353 2.6997 1.9282
W Cl Bi Cu
1 2 1 1
Direct
0.0000 0.0000 0.0000
0.0000 0.0000 0.5000
0.5000 0.0000 0.0000
0.5000 0.5000 0.5000
0.0000 0.5000 0.0000
```

***

Copy entry 2 word for word.
A relaxed structure of Tl2Cu2BiCl6, computed with PBE.

Summary:
For the magnetic moment, the calculation gives 0.9 μB/f.u. The calculated volume comes out at 323 Å³/cell. The calculation puts the electronic total energy at -3.229 eV per atom. The value obtained for the energy relative to the elements, uncorrected is -7.6 eV per formula unit. As for the density of states at the Fermi level: 0.529 states/eV per atom.

Structure (POSCAR):
```
Tl2Cu2BiCl6
1.0
-2.8292 6.6763 -0.1540
1.7732 -3.0281 6.9298
5.8686 2.4351 -2.2470
Cl Bi Tl Cu
6 1 2 2
Direct
0.8381 0.1579 0.7954
0.1619 0.8421 0.2046
0.8050 0.6100 0.6960
0.6802 0.8421 0.2046
0.3198 0.1579 0.7954
0.1950 0.3900 0.3040
0.5000 0.0000 0.5000
0.7223 0.4446 0.2269
0.2777 0.5554 0.7731
0.0295 0.0591 0.2140
0.9705 0.9409 0.7860
```